# K2Ni3IrF12 PBE with a Hubbard U relaxed
data_K2Ni3IrF12
_cell_length_a 7.464
_cell_length_b 7.464
_cell_length_c 7.464
_cell_angle_alpha 58.19
_cell_angle_beta 58.19
_cell_angle_gamma 58.19
_symmetry_space_group_name_H-M 'P 1'
_symmetry_Int_Tables_number 1
loop_
_symmetry_equiv_pos_as_xyz
'x,y,z'
loop_
_atom_site_label
_atom_site_type_symbol
_atom_site_fract_x
_atom_site_fract_y
_atom_site_fract_z
K1 K 0.097 0.097 0.097
K2 K 0.903 0.903 0.903
Ni1 Ni 0.000 0.500 0.500
Ni2 Ni 0.500 0.000 0.500
Ni3 Ni 0.500 0.500 0.000
Ir1 Ir 0.500 0.500 0.500
F1 F 0.174 0.174 0.580
F2 F 0.174 0.580 0.174
F3 F 0.178 0.578 0.578
F4 F 0.420 0.826 0.826
F5 F 0.422 0.422 0.822
F6 F 0.422 0.822 0.422
F7 F 0.578 0.178 0.578
F8 F 0.578 0.578 0.178
F9 F 0.580 0.174 0.174
F10 F 0.822 0.422 0.422
F11 F 0.826 0.420 0.826
F12 F 0.826 0.826 0.420
# Spin magnetization in μB/atom: 0.392
# ρ in g/cm³: 4.0
# VASP energy in eV per cell: -79.5